DFT (PBE-GGA) results for crystalline MgZn6Pd at its relaxed geometry.

Cell lengths 5.015, 5.015, 5.015 Å; angles 90.00, 90.00, 90.00 degrees
Space group Pm-3 (No. 200)
Asymmetric unit:
1 Mg 0.000 0.000 0.000
2 Zn 0.000 0.254 0.500
3 Pd 0.500 0.500 0.500

Output
- Offset from the most stable computed form: 47 meV/atom
- Total magnetic moment: 0.0 μB/f.u.